Here is NaCuSe2 after structural relaxation from Alexandria. Energies are from PBE.

Cell and atoms, written as CIF:
```
data_NaCuSe2
_symmetry_space_group_name_H-M 'I -4 2 d'
_symmetry_Int_Tables_number 122
_symmetry_space_group_name_Hall 'I -4 2bw'
_cell_length_a 7.375
_cell_length_b 7.375
_cell_length_c 6.144
_cell_angle_alpha 90.00
_cell_angle_beta 90.00
_cell_angle_gamma 90.00
loop_
_atom_site_label
_atom_site_type_symbol
_atom_site_fract_x
_atom_site_fract_y
_atom_site_fract_z
Na1 Na 0.000 0.000 0.000
Cu1 Cu 0.000 0.000 0.500
Se1 Se 0.182 0.250 0.625
```

Output
For the uncorrected formation energy, the calculation gives -0.407 eV per atom. The crystal system is tetragonal. The energy is -3.503 eV per atom. The total magnetization is 0.00 μB/f.u.

Here is Na2Cu2Se3 after structural relaxation from Alexandria. Energies are from PBE.

Cell and atoms, written as CIF:
```
data_Na2Cu2Se3
_symmetry_space_group_name_H-M 'C 1 2/m 1'
_symmetry_Int_Tables_number 12
_symmetry_space_group_name_Hall '-C 2y'
_cell_length_a 15.985
_cell_length_b 3.989
_cell_length_c 11.412
_cell_angle_alpha 90.00
_cell_angle_beta 125.03
_cell_angle_gamma 90.00
loop_
_atom_site_label
_atom_site_type_symbol
_atom_site_fract_x
_atom_site_fract_y
_atom_site_fract_z
Na1 Na 0.114 0.000 0.461
Na2 Na 0.232 0.000 0.836
Cu1 Cu 0.023 0.500 0.812
Cu2 Cu 0.083 0.000 0.154
Se1 Se 0.064 0.500 0.633
Se2 Se 0.107 0.000 0.957
Se3 Se 0.162 0.500 0.302
```

Output
For the uncorrected formation energy, the calculation gives -0.554 eV per atom. The crystal system is monoclinic. The energy is -3.594 eV per atom. The total magnetization is 0.00 μB/f.u. The calculation puts the offset from the most stable computed form at 0 kJ/mol of formula units.

Here is Na3Cu2Se3 after structural relaxation from Alexandria. Energies are from PBE.

Cell and atoms, written as CIF:
```
data_Na3Cu2Se3
_symmetry_space_group_name_H-M 'P n m a'
_symmetry_Int_Tables_number 62
_symmetry_space_group_name_Hall '-P 2ac 2n'
_cell_length_a 6.985
_cell_length_b 12.697
_cell_length_c 7.645
_cell_angle_alpha 90.00
_cell_angle_beta 90.00
_cell_angle_gamma 90.00
loop_
_atom_site_label
_atom_site_type_symbol
_atom_site_fract_x
_atom_site_fract_y
_atom_site_fract_z
Na1 Na 0.007 0.250 0.214
Na2 Na 0.018 0.608 0.183
Cu1 Cu 0.133 0.575 0.574
Se1 Se 0.211 0.750 0.441
Se2 Se 0.222 0.068 0.375
```

Output
For the uncorrected formation energy, the calculation gives -0.675 eV per atom. The crystal system is orthorhombic. The energy is -3.500 eV per atom. The total magnetization is 0.00 μB/f.u. The calculation puts the offset from the most stable computed form at 0 kJ/mol of formula units.

Here is NaCu4Se2 after structural relaxation from Alexandria. Energies are from PBE.

Cell and atoms, written as CIF:
```
data_NaCu4Se2
_symmetry_space_group_name_H-M 'R -3 m'
_symmetry_Int_Tables_number 166
_symmetry_space_group_name_Hall '-R 3 2"'
_cell_length_a 4.1069
_cell_length_b 4.1069
_cell_length_c 24.6097
_cell_angle_alpha 90.00
_cell_angle_beta 90.00
_cell_angle_gamma 120.00
loop_
_atom_site_label
_atom_site_type_symbol
_atom_site_fract_x
_atom_site_fract_y
_atom_site_fract_z
Na1 Na 0.0000 0.0000 0.0000
Cu1 Cu 0.0000 0.0000 0.1621
Cu2 Cu 0.0000 0.0000 0.4472
Se1 Se 0.0000 0.0000 0.2599
```

Output
For the uncorrected formation energy, the calculation gives -0.234 eV per atom. The crystal system is trigonal. The energy is -3.759 eV per atom. The total magnetization is 0.00 μB/f.u.

Here is NaCuSe2 after structural relaxation from Alexandria. Energies are from PBE.

Cell and atoms, written as CIF:
```
data_NaCuSe2
_symmetry_space_group_name_H-M 'F m -3 m'
_symmetry_Int_Tables_number 225
_symmetry_space_group_name_Hall '-F 4 2 3'
_cell_length_a 6.717
_cell_length_b 6.717
_cell_length_c 6.717
_cell_angle_alpha 90.00
_cell_angle_beta 90.00
_cell_angle_gamma 90.00
loop_
_atom_site_label
_atom_site_type_symbol
_atom_site_fract_x
_atom_site_fract_y
_atom_site_fract_z
Na1 Na 0.000 0.000 0.000
Cu1 Cu 0.000 0.000 0.500
Se1 Se 0.250 0.250 0.250
```

Output
For the uncorrected formation energy, the calculation gives -0.078 eV per atom. The crystal system is cubic. The energy is -3.174 eV per atom. The total magnetization is 0.00 μB/f.u.

Here is Na14Cu2Se9 after structural relaxation from Alexandria. Energies are from PBE.

Cell and atoms, written as CIF:
```
data_Na14Cu2Se9
_symmetry_space_group_name_H-M 'P -3'
_symmetry_Int_Tables_number 147
_symmetry_space_group_name_Hall '-P 3'
_cell_length_a 8.2035
_cell_length_b 8.2035
_cell_length_c 11.4578
_cell_angle_alpha 90.00
_cell_angle_beta 90.00
_cell_angle_gamma 120.00
loop_
_atom_site_label
_atom_site_type_symbol
_atom_site_fract_x
_atom_site_fract_y
_atom_site_fract_z
Na1 Na 0.0000 0.0000 0.2479
Na2 Na 0.0243 0.6715 0.4090
Na3 Na 0.0604 0.3771 0.0949
Cu1 Cu 0.3333 0.6667 0.7594
Se1 Se 0.0000 0.0000 0.5000
Se2 Se 0.0610 0.3638 0.8364
Se3 Se 0.3333 0.6667 0.5401
```

Output
For the uncorrected formation energy, the calculation gives -0.866 eV per atom. The crystal system is trigonal. The energy is -3.187 eV per atom. The total magnetization is 2.07 μB/f.u.

Here is Na2CuSe4 after structural relaxation from Alexandria. Energies are from PBE.

Cell and atoms, written as CIF:
```
data_Na2CuSe4
_symmetry_space_group_name_H-M 'I -4 2 d'
_symmetry_Int_Tables_number 122
_symmetry_space_group_name_Hall 'I -4 2bw'
_cell_length_a 8.089
_cell_length_b 8.089
_cell_length_c 10.691
_cell_angle_alpha 90.00
_cell_angle_beta 90.00
_cell_angle_gamma 90.00
loop_
_atom_site_label
_atom_site_type_symbol
_atom_site_fract_x
_atom_site_fract_y
_atom_site_fract_z
Na1 Na 0.119 0.250 0.125
Cu1 Cu 0.000 0.000 0.500
Se1 Se 0.114 0.246 0.828
```

Output
For the uncorrected formation energy, the calculation gives -0.445 eV per atom. The crystal system is tetragonal. The energy is -3.398 eV per atom. The total magnetization is 0.00 μB/f.u.

Here is NaCuSe2 after structural relaxation from Alexandria. Energies are from PBE.

Cell and atoms, written as CIF:
```
data_NaCuSe2
_symmetry_space_group_name_H-M 'C m m m'
_symmetry_Int_Tables_number 65
_symmetry_space_group_name_Hall '-C 2 2'
_cell_length_a 5.686
_cell_length_b 7.760
_cell_length_c 4.371
_cell_angle_alpha 90.00
_cell_angle_beta 90.00
_cell_angle_gamma 90.00
loop_
_atom_site_label
_atom_site_type_symbol
_atom_site_fract_x
_atom_site_fract_y
_atom_site_fract_z
Na1 Na 0.000 0.000 0.000
Cu1 Cu 0.000 0.500 0.500
Se1 Se 0.250 0.250 0.500
```

Output
For the uncorrected formation energy, the calculation gives -0.374 eV per atom. The crystal system is orthorhombic. The energy is -3.470 eV per atom. The total magnetization is 0.00 μB/f.u.

Here is NaCuSe after structural relaxation from Alexandria. Energies are from PBE.

Cell and atoms, written as CIF:
```
data_NaCuSe
_symmetry_space_group_name_H-M 'P -6 m 2'
_symmetry_Int_Tables_number 187
_symmetry_space_group_name_Hall 'P -6 2'
_cell_length_a 4.1208
_cell_length_b 4.1208
_cell_length_c 4.3098
_cell_angle_alpha 90.00
_cell_angle_beta 90.00
_cell_angle_gamma 120.00
loop_
_atom_site_label
_atom_site_type_symbol
_atom_site_fract_x
_atom_site_fract_y
_atom_site_fract_z
Na1 Na 0.0000 0.0000 0.0000
Cu1 Cu 0.6667 0.3333 0.5000
Se1 Se 0.3333 0.6667 0.5000
```

Output
For the uncorrected formation energy, the calculation gives -0.605 eV per atom. The crystal system is hexagonal. The energy is -3.572 eV per atom. The total magnetization is 0.00 μB/f.u.

Here is NaCu3Se after structural relaxation from Alexandria. Energies are from PBE.

Cell and atoms, written as CIF:
```
data_NaCu3Se
_symmetry_space_group_name_H-M 'P m -3 m'
_symmetry_Int_Tables_number 221
_symmetry_space_group_name_Hall '-P 4 2 3'
_cell_length_a 4.595
_cell_length_b 4.595
_cell_length_c 4.595
_cell_angle_alpha 90.00
_cell_angle_beta 90.00
_cell_angle_gamma 90.00
loop_
_atom_site_label
_atom_site_type_symbol
_atom_site_fract_x
_atom_site_fract_y
_atom_site_fract_z
Na1 Na 0.000 0.000 0.000
Cu1 Cu 0.000 0.000 0.500
Se1 Se 0.500 0.500 0.500
```

Output
For the uncorrected formation energy, the calculation gives 1.166 eV per atom. The crystal system is cubic. The energy is -2.252 eV per atom. The total magnetization is 0.00 μB/f.u. The calculation puts the offset from the most stable computed form at 383 kJ/mol of formula units.

Here is Na3Cu4Se4 after structural relaxation from Alexandria. Energies are from PBE.

Cell and atoms, written as CIF:
```
data_Na3Cu4Se4
_symmetry_space_group_name_H-M 'I m m m'
_symmetry_Int_Tables_number 71
_symmetry_space_group_name_Hall '-I 2 2'
_cell_length_a 4.222
_cell_length_b 7.026
_cell_length_c 13.721
_cell_angle_alpha 90.00
_cell_angle_beta 90.00
_cell_angle_gamma 90.00
loop_
_atom_site_label
_atom_site_type_symbol
_atom_site_fract_x
_atom_site_fract_y
_atom_site_fract_z
Na1 Na 0.000 0.000 0.000
Na2 Na 0.000 0.500 0.110
Cu1 Cu 0.000 0.312 0.326
Se1 Se 0.000 0.000 0.229
Se2 Se 0.000 0.228 0.500
```

Output
For the uncorrected formation energy, the calculation gives -0.459 eV per atom. The crystal system is orthorhombic. The energy is -3.575 eV per atom. The total magnetization is 0.00 μB/f.u. The calculation puts the offset from the most stable computed form at 50 kJ/mol of formula units.

Here is NaCu3Se2 after structural relaxation from Alexandria. Energies are from PBE.

Cell and atoms, written as CIF:
```
data_NaCu3Se2
_symmetry_space_group_name_H-M 'C 1 2/m 1'
_symmetry_Int_Tables_number 12
_symmetry_space_group_name_Hall '-C 2y'
_cell_length_a 15.126
_cell_length_b 3.955
_cell_length_c 8.523
_cell_angle_alpha 90.00
_cell_angle_beta 118.50
_cell_angle_gamma 90.00
loop_
_atom_site_label
_atom_site_type_symbol
_atom_site_fract_x
_atom_site_fract_y
_atom_site_fract_z
Na1 Na 0.132 0.000 0.082
Cu1 Cu 0.050 0.000 0.403
Cu2 Cu 0.092 0.500 0.635
Cu3 Cu 0.183 0.500 0.442
Se1 Se 0.002 0.500 0.205
Se2 Se 0.208 0.000 0.693
```

Output
For the uncorrected formation energy, the calculation gives -0.370 eV per atom. The crystal system is monoclinic. The energy is -3.800 eV per atom. The total magnetization is 0.00 μB/f.u.

Respective DOS(E_F) values: 2.672 16.018 19.793 4.693 12.078 19.129 23.790 2.496 0.233 0.675 11.468 2.059 states/eV/cell.